First-principles (GGA-PBEsol) data for a geometry-optimized AlSbMo2 structure, as listed in Alexandria.

Cell and atoms, written as POSCAR:
```
AlSbMo2
1.0
3.141 0.000 0.000
0.000 4.677 0.000
0.000 0.000 4.530
Al Sb Mo
1 1 2
Direct
0.000 0.000 0.000
0.500 0.500 0.150
0.000 0.500 0.653
0.500 0.000 0.503
```

Summary:
* ΔE_f (raw): 0.204 eV/atom
* space-group type: Pmm2
* E above lowest polymorph: 0.004 eV/atom
* E: -31.4 eV/cell
* magnetization: 0.00 Bohr magnetons per cell


First-principles (GGA-PBEsol) data for a geometry-optimized Te3Br structure, as listed in Alexandria.

Cell and atoms, written as POSCAR:
```
Te3Br
1.0
3.562 0.000 0.000
0.000 4.467 0.000
0.000 0.000 7.247
Te Br
3 1
Direct
0.000 0.000 0.000
0.000 0.500 0.269
0.500 0.500 0.810
0.500 0.000 0.516
```

Summary:
* ΔE_f (raw): 0.126 eV/atom
* space-group type: Pmm2
* E above lowest polymorph: 0.150 eV/atom
* E: -11.9 eV/cell
* magnetization: 0.00 Bohr magnetons per cell


First-principles (GGA-PBEsol) data for a geometry-optimized PdPbS2Cl structure, as listed in Alexandria.

Cell and atoms, written as POSCAR:
```
PdPbS2Cl
1.0
4.709 0.000 0.000
0.000 4.709 0.000
0.000 0.000 4.722
Pd Pb S Cl
1 1 2 1
Direct
0.000 0.000 0.000
0.500 0.500 0.500
0.000 0.500 0.000
0.500 0.000 0.000
0.000 0.000 0.500
```

Summary:
* ΔE_f (raw): -0.208 eV/atom
* space-group type: P4/mmm
* E: -21.8 eV/cell
* magnetization: 0.00 Bohr magnetons per cell


First-principles (GGA-PBEsol) data for a geometry-optimized CaMoSCl2 structure, as listed in Alexandria.

Cell and atoms, written as POSCAR:
```
CaMoSCl2
1.0
4.963 0.000 0.000
0.000 4.963 0.000
0.000 0.000 5.421
Ca Mo S Cl
1 1 1 2
Direct
0.000 0.000 0.000
0.500 0.500 0.500
0.000 0.000 0.500
0.000 0.500 0.000
0.500 0.000 0.000
```

Summary:
* ΔE_f (raw): -0.087 eV/atom
* space-group type: P4/mmm
* E: -22.7 eV/cell
* magnetization: 4.00 Bohr magnetons per cell


First-principles (GGA-PBEsol) data for a geometry-optimized BaSr3B structure, as listed in Alexandria.

Cell and atoms, written as POSCAR:
```
BaSr3B
1.0
6.433 0.000 0.000
0.000 6.433 0.000
0.000 0.000 6.433
Ba Sr B
1 3 1
Direct
0.000 0.000 0.000
0.000 0.000 0.500
0.000 0.500 0.000
0.500 0.000 0.000
0.500 0.500 0.500
```

Summary:
* E_form: 1.803 eV/atom
* space-group type: Pm-3m
* E above lowest polymorph: 1.461 eV/atom
* E: -5.7 eV/cell
* magnetization: 2.99 Bohr magnetons per cell


First-principles (GGA-PBEsol) data for a geometry-optimized YZn2Rh structure, as listed in Alexandria.

Cell and atoms, written as POSCAR:
```
YZn2Rh
1.0
-2.286 2.286 3.221
2.286 -2.286 3.221
2.286 2.286 -3.221
Y Zn Rh
1 2 1
Direct
0.000 0.000 0.000
0.500 0.500 0.000
0.750 0.250 0.500
0.250 0.750 0.500
```

Summary:
* E_form: -0.357 eV/atom
* space-group type: I-4m2
* E: -19.6 eV/cell
* magnetization: 0.00 Bohr magnetons per cell


First-principles (GGA-PBEsol) data for a geometry-optimized Tl2Cd3 structure, as listed in Alexandria.

Cell and atoms, written as POSCAR:
```
Tl2Cd3
1.0
1.637 0.945 12.885
-1.637 0.945 12.885
0.000 -1.890 12.885
Tl Cd
2 3
Direct
0.098 0.098 0.098
0.902 0.902 0.902
0.303 0.303 0.303
0.500 0.500 0.500
0.697 0.697 0.697
```

Summary:
* E_form: 0.061 eV/atom
* space-group type: R-3m
* E: -8.5 eV/cell
* magnetization: 0.00 Bohr magnetons per cell


First-principles (GGA-PBEsol) data for a geometry-optimized Ti2Ni2Se structure, as listed in Alexandria.

Cell and atoms, written as POSCAR:
```
Ti2Ni2Se
1.0
-2.017 2.017 4.775
2.017 -2.017 4.775
2.017 2.017 -4.775
Ti Ni Se
2 2 1
Direct
0.250 0.750 0.500
0.750 0.250 0.500
0.115 0.115 0.000
0.885 0.885 0.000
0.500 0.500 0.000
```

Summary:
* ΔE_f (raw): -0.060 eV/atom
* space-group type: I4/mmm
* E: -33.1 eV/cell
* magnetization: 0.01 Bohr magnetons per cell


First-principles (GGA-PBEsol) data for a geometry-optimized ZrCr2Fe structure, as listed in Alexandria.

Cell and atoms, written as POSCAR:
```
ZrCr2Fe
1.0
2.913 0.000 0.000
0.000 2.913 0.000
0.000 0.000 6.367
Zr Cr Fe
1 2 1
Direct
0.000 0.000 0.000
0.500 0.500 0.309
0.500 0.500 0.691
0.000 0.000 0.500
```

Summary:
* E_form: 0.303 eV/atom
* space-group type: P4/mmm
* E: -37.3 eV/cell
* magnetization: 0.83 Bohr magnetons per cell


First-principles (GGA-PBEsol) data for a geometry-optimized ReSiTe3 structure, as listed in Alexandria.

Cell and atoms, written as POSCAR:
```
ReSiTe3
1.0
5.150 0.000 0.000
0.000 5.150 0.000
0.000 0.000 5.150
Re Si Te
1 1 3
Direct
0.000 0.000 0.000
0.500 0.500 0.500
0.000 0.000 0.500
0.000 0.500 0.000
0.500 0.000 0.000
```

Summary:
* ΔE_f (raw): 1.009 eV/atom
* space-group type: Pm-3m
* E above lowest polymorph: 0.000 eV/atom
* E: -24.6 eV/cell
* magnetization: 0.00 Bohr magnetons per cell


First-principles (GGA-PBEsol) data for a geometry-optimized KBaSr structure, as listed in Alexandria.

Cell and atoms, written as POSCAR:
```
KBaSr
1.0
4.324 0.000 0.000
-2.162 3.745 0.000
0.000 0.000 11.021
K Ba Sr
1 1 1
Direct
0.000 0.000 0.000
0.667 0.333 0.347
0.333 0.667 0.660
```

Summary:
* E_form: 0.067 eV/atom
* space-group type: P3m1
* E above lowest polymorph: 0.000 eV/atom
* E: -4.9 eV/cell
* magnetization: 0.00 Bohr magnetons per cell


First-principles (GGA-PBEsol) data for a geometry-optimized CaGa2Rh2 structure, as listed in Alexandria.

Cell and atoms, written as POSCAR:
```
CaGa2Rh2
1.0
7.366 0.000 0.000
0.000 7.366 0.000
0.000 0.000 2.910
Ca Ga Rh
2 4 4
Direct
0.000 0.000 0.000
0.500 0.500 0.000
0.148 0.352 0.500
0.352 0.852 0.500
0.648 0.148 0.500
0.852 0.648 0.500
0.145 0.645 0.000
0.355 0.145 0.000
0.645 0.855 0.000
0.855 0.355 0.000
```

Summary:
* E_form: -0.651 eV/atom
* space-group type: P4/mbm
* E: -56.7 eV/cell
* magnetization: 0.00 Bohr magnetons per cell


First-principles (GGA-PBEsol) data for a geometry-optimized TaSiP structure, as listed in Alexandria.

Cell and atoms, written as POSCAR:
```
TaSiP
1.0
3.060 0.000 0.000
-1.530 2.650 0.000
0.000 0.000 5.587
Ta Si P
1 1 1
Direct
0.000 0.000 0.000
0.667 0.333 0.365
0.333 0.667 0.681
```

Summary:
* ΔE_f (raw): -0.242 eV/atom
* space-group type: P3m1
* E: -24.8 eV/cell
* magnetization: 0.00 Bohr magnetons per cell


First-principles (GGA-PBEsol) data for a geometry-optimized CaBeAlOs2 structure, as listed in Alexandria.

Cell and atoms, written as POSCAR:
```
CaBeAlOs2
1.0
4.538 0.000 0.000
0.000 4.538 0.000
0.000 0.000 4.300
Ca Be Al Os
1 1 1 2
Direct
0.000 0.000 0.000
0.500 0.500 0.000
0.500 0.500 0.500
0.000 0.500 0.500
0.500 0.000 0.500
```

Summary:
* E_form: 1.034 eV/atom
* space-group type: P4/mmm
* E: -29.5 eV/cell
* magnetization: 0.71 Bohr magnetons per cell


First-principles (GGA-PBEsol) data for a geometry-optimized Li2Si2Br structure, as listed in Alexandria.

Cell and atoms, written as POSCAR:
```
Li2Si2Br
1.0
-1.722 1.722 7.593
1.722 -1.722 7.593
1.722 1.722 -7.593
Li Si Br
2 2 1
Direct
0.100 0.100 0.000
0.900 0.900 0.000
0.250 0.750 0.500
0.750 0.250 0.500
0.500 0.500 0.000
```

Summary:
* ΔE_f (raw): -0.483 eV/atom
* space-group type: I4/mmm
* E: -19.7 eV/cell
* magnetization: 0.00 Bohr magnetons per cell


First-principles (GGA-PBEsol) data for a geometry-optimized Cr3Tc structure, as listed in Alexandria.

Cell and atoms, written as POSCAR:
```
Cr3Tc
1.0
2.522 0.000 0.000
0.000 4.040 0.000
-0.851 0.000 4.695
Cr Tc
3 1
Direct
0.000 0.000 0.000
0.251 0.500 0.761
0.749 0.500 0.239
0.500 0.000 0.500
```

Summary:
* E_form: 0.069 eV/atom
* space-group type: P2/m
* E: -41.7 eV/cell
* magnetization: 0.00 Bohr magnetons per cell


First-principles (GGA-PBEsol) data for a geometry-optimized Tl structure, as listed in Alexandria.

Cell and atoms, written as POSCAR:
```
Tl
1.0
-3.031 3.031 1.620
3.031 -3.031 1.620
3.031 3.031 -1.620
Tl
2
Direct
0.375 0.625 0.750
0.625 0.375 0.250
```

Summary:
* E_form: 0.100 eV/atom
* space-group type: I4_1/amd
* E above lowest polymorph: 0.100 eV/atom
* E: -5.1 eV/cell
* magnetization: 0.00 Bohr magnetons per cell


First-principles (GGA-PBEsol) data for a geometry-optimized Li2ScSb structure, as listed in Alexandria.

Cell and atoms, written as POSCAR:
```
Li2ScSb
1.0
4.978 -2.035 0.000
4.978 2.035 0.000
-1.042 0.000 4.030
Li Sc Sb
2 1 1
Direct
0.250 0.250 0.223
0.750 0.750 0.777
0.000 0.000 0.500
0.500 0.500 0.000
```

Summary:
* ΔE_f (raw): -0.386 eV/atom
* space-group type: C2/m
* E: -16.6 eV/cell
* magnetization: 0.00 Bohr magnetons per cell


First-principles (GGA-PBEsol) data for a geometry-optimized CaGaGe structure, as listed in Alexandria.

Cell and atoms, written as POSCAR:
```
CaGaGe
1.0
4.192 0.000 0.000
-2.096 3.631 0.000
0.000 0.000 16.909
Ca Ga Ge
4 4 4
Direct
0.000 0.000 0.000
0.000 0.000 0.250
0.000 0.000 0.500
0.000 0.000 0.750
0.333 0.667 0.153
0.333 0.667 0.347
0.667 0.333 0.653
0.667 0.333 0.847
0.333 0.667 0.612
0.333 0.667 0.888
0.667 0.333 0.112
0.667 0.333 0.388
```

Summary:
* E_form: -0.573 eV/atom
* space-group type: P6_3/mmc
* E: -48.5 eV/cell
* magnetization: 0.00 Bohr magnetons per cell


First-principles (GGA-PBEsol) data for a geometry-optimized CaSBrCl2 structure, as listed in Alexandria.

Cell and atoms, written as POSCAR:
```
CaSBrCl2
1.0
5.079 0.000 0.000
0.000 5.079 0.000
0.000 0.000 5.100
Ca S Br Cl
1 1 1 2
Direct
0.000 0.000 0.000
0.500 0.500 0.000
0.500 0.500 0.500
0.000 0.500 0.500
0.500 0.000 0.500
```

Summary:
* ΔE_f (raw): -0.436 eV/atom
* space-group type: P4/mmm
* E: -14.6 eV/cell
* magnetization: 0.00 Bohr magnetons per cell